Density functional theory data (PBE-GGA) for a relaxed structure of TbPr3Al8.

Crystal system = trigonal
Excess energy over the best structure of this formula in the dataset = 0 meV per atom
Total magnetic moment = 0.00 μB per formula unit
Energy of formation from the pure elements = -0.49 eV per atom
Energy = -4.568 eV/atom

Geometry as CIF:
```
data_TbPr3Al8
_chemical_formula_sum 'Tb3 Pr9 Al24'
_symmetry_space_group_name_H-M 'R 3 m'
_symmetry_Int_Tables_number 160
_symmetry_space_group_name_Hall 'R 3 -2"'
_cell_length_a 5.6774
_cell_length_b 5.6774
_cell_length_c 27.8879
_cell_angle_alpha 90.00
_cell_angle_beta 90.00
_cell_angle_gamma 120.00
loop_
_atom_site_label
_atom_site_fract_x
_atom_site_fract_y
_atom_site_fract_z
_atom_site_occupancy
Tb1 0.0000 0.0000 0.0000 1
Pr1 0.0000 0.0000 0.1245 1
Pr2 0.0000 0.0000 0.4994 1
Pr3 0.0000 0.0000 0.6247 1
Al1 0.0000 0.0000 0.3125 1
Al2 0.0000 0.0000 0.8119 1
Al3 0.9995 0.4998 0.0612 1
Al4 0.0009 0.5004 0.5631 1
```